1.
Mg2Nb2Cl, optimized geometry, DFT PBE; formation energy without anion corrections = 0.199 eV per atom; magnetization = 0.000 μB per atom; total DFT energy (no corrections) = -4.84 eV/atom; relative energy among the computed polymorphs = 63 meV per atom; symmetry = P4/mbm, No. 127
1.0
6.408 0.000 0.000
0.000 6.408 0.000
0.000 0.000 4.973
Mg Nb Cl
4 4 2
Direct
0.155 0.345 0.000
0.345 0.845 0.000
0.655 0.155 0.000
0.845 0.655 0.000
0.144 0.644 0.500
0.356 0.144 0.500
0.644 0.856 0.500
0.856 0.356 0.500
0.000 0.000 0.500
0.500 0.500 0.500



2.
ICl4, optimized geometry, DFT PBE; formation energy without anion corrections = -0.070 eV per atom; magnetization = 0.000 μB per atom; total DFT energy (no corrections) = -1.86 eV/atom; relative energy among the computed polymorphs = 26 meV per atom; symmetry = P1, No. 1
1.0
7.410 0.000 0.000
0.577 8.332 0.000
2.767 0.479 8.191
I Cl
2 8
Direct
0.000 0.000 0.000
0.243 0.647 0.293
0.004 0.498 0.229
0.038 0.935 0.270
0.149 0.221 0.562
0.424 0.401 0.335
0.487 0.816 0.346
0.545 0.826 0.646
0.605 0.853 0.858
0.936 0.078 0.710